DFT (PBEsol) results for an optimized crystal structure of Be2Au3.

* density of states at the Fermi level: 1.34 states/eV/f.u.
* space-group type: No. 164
* calculated volume: 14.14 Å³ per atom
* formation energy: -0.137 eV/atom

```
Be2Au3
1.0
-1.392 0.363 -3.801
-1.057 -3.213 2.253
-3.938 2.473 1.679
Be Au
2 3
direct
0.333 0.667 0.830 Be
0.667 0.333 0.170 Be
0.000 0.000 0.000 Au
0.333 0.667 0.336 Au
0.667 0.333 0.664 Au
```

=====

DFT (PBEsol) results for an optimized crystal structure of Na2MgTaMn.

* density of states at the Fermi level: 5.99 states/eV/f.u.
* space-group type: No. 123
* calculated volume: 25.90 Å³ per atom
* formation energy: 1.822 eV/atom

```
Na2MgTaMn
1.0
-2.635 3.281 2.793
-2.367 -3.838 2.276
3.618 -0.122 3.557
Na Mg Mn Ta
2 1 1 1
direct
0.000 0.500 0.000 Na
0.500 0.000 0.000 Na
0.000 0.000 0.500 Mg
0.000 0.000 0.000 Mn
0.500 0.500 0.500 Ta
```

=====

Q: The highest calculated volume belongs to which entry?
A: Na2MgTaMn